Crystalline SmTh2Sb3 at its relaxed geometry, computed with PBE.

Cell: 17.209 4.473 10.906 Å, 90.00 108.11 90.00°
Space group C2/m (No. 12)
One atom of each set of equivalent atoms:
Sm 0.000 0.000 0.000 x2
Sm 0.000 0.500 0.500 x2
Th 0.166 0.000 0.832 x4
Th 0.167 0.500 0.333 x4
Sb 0.028 0.500 0.806 x4
Sb 0.138 0.000 0.527 x4
Sb 0.194 0.000 0.139 x4

The value obtained for the calculated total energy is -6.220 eV/atom. Its crystal system is monoclinic. Its density of states at the Fermi level is 11.00 states/eV/cell. As for the uncorrected formation energy: -0.899 eV/atom.